VASP calculation (PBE) on crystalline CsNdMnS3 at its relaxed geometry.

Values from the calculation:
calculated volume: 189.1 Å³/f.u.
ΔE_f (raw): -8.39 eV per formula unit
space-group type: P2_1/m (11)

Unit cell a=4.221 b=9.510 c=9.973 alpha=109.19 beta=90.00 gamma=90.00
Sites, in units of the cell vectors:
Cs 0.750 0.792 0.763
Cs 0.250 0.208 0.237
Nd 0.250 0.665 0.142
Nd 0.750 0.335 0.858
Mn 0.250 0.086 0.610
Mn 0.750 0.914 0.390
S 0.250 0.821 0.459
S 0.750 0.874 0.146
S 0.750 0.470 0.152
S 0.750 0.179 0.541
S 0.250 0.530 0.848
S 0.250 0.126 0.854